1.
Compound: Mn4CdRh
Source: Alexandria
Functional: PBE
Structure: optimized geometry

Values from the calculation:
Total magnetization ... 26.04 μB per cell
Final energy ... -7.24 eV/atom
ΔH_f (0 K) ... 255 meV per atom

Geometry as CIF:
```
data_Mn4CdRh
_cell_length_a 6.821
_cell_length_b 6.821
_cell_length_c 6.821
_cell_angle_alpha 90.00
_cell_angle_beta 90.00
_cell_angle_gamma 90.00
_symmetry_space_group_name_H-M 'F -4 3 m'
_symmetry_Int_Tables_number 216
_symmetry_space_group_name_Hall 'F -4 2 3'
loop_
_atom_site_label
_atom_site_fract_x
_atom_site_fract_y
_atom_site_fract_z
_atom_site_occupancy
Mn1 0.125 0.125 0.125 1
Cd1 0.000 0.000 0.500 1
Rh1 0.250 0.250 0.750 1
```

2.
Compound: TbPmCu10
Source: Alexandria
Functional: PBE
Structure: optimized geometry

Values from the calculation:
Total magnetization ... 0.00 μB per cell
Final energy ... -4.38 eV/atom
ΔH_f (0 K) ... -181 meV per atom

Geometry as CIF:
```
data_TbPmCu10
_cell_length_a 4.110
_cell_length_b 5.063
_cell_length_c 8.717
_cell_angle_alpha 90.00
_cell_angle_beta 90.00
_cell_angle_gamma 90.00
_symmetry_space_group_name_H-M 'P m m m'
_symmetry_Int_Tables_number 47
loop_
_symmetry_equiv_pos_as_xyz
'x,y,z'
'-x,-y,-z'
'-x,-y,z'
'x,y,-z'
'x,-y,-z'
'-x,y,z'
'-x,y,-z'
'x,-y,z'
loop_
_atom_site_label
_atom_site_fract_x
_atom_site_fract_y
_atom_site_fract_z
_atom_site_occupancy
Tb1 0.000 0.000 0.000 1
Pm1 0.000 0.500 0.500 1
Cu1 0.000 0.000 0.330 1
Cu2 0.000 0.500 0.164 1
Cu3 0.500 0.000 0.500 1
Cu4 0.500 0.248 0.247 1
Cu5 0.500 0.500 0.000 1
```

3.
Compound: HfTlH
Source: Alexandria
Functional: PBE
Structure: optimized geometry

Values from the calculation:
Excess energy over the best structure of this formula in the dataset ... 0.000 eV per atom
Total magnetization ... 0.00 μB per cell
Final energy ... -5.45 eV/atom

Geometry as CIF:
```
data_HfTlH
_cell_length_a 3.4002
_cell_length_b 3.4002
_cell_length_c 4.8599
_cell_angle_alpha 90.00
_cell_angle_beta 90.00
_cell_angle_gamma 120.00
_symmetry_space_group_name_H-M 'P -6 m 2'
_symmetry_Int_Tables_number 187
_symmetry_space_group_name_Hall 'P -6 2'
loop_
_atom_site_label
_atom_site_fract_x
_atom_site_fract_y
_atom_site_fract_z
_atom_site_occupancy
Hf1 0.0000 0.0000 0.0000 1
Tl1 0.3333 0.6667 0.5000 1
H1 0.6667 0.3333 0.0000 1
```